No. 1
Below is a relaxed structure of BiWClF2, with properties calculated at the PBE with a Hubbard U level.

It has space group P4/mmm (No. 123), with a = 4.5147 Å, b = 4.5147 Å, c = 6.2260 Å, α = 90.00°, β = 90.00° and γ = 90.00°. The inequivalent atoms are Bi at (0.0000, 0.0000, 0.0000), W at (0.5000, 0.5000, 0.5000), Cl at (0.0000, 0.0000, 0.5000) and F at (0.0000, 0.5000, 0.0000).

No. 2
Below is a relaxed structure of PaMnOsO6, with properties calculated at the PBE with a Hubbard U level.

It has space group P-31c (No. 163), with a = 5.4493 Å, b = 5.4493 Å, c = 9.1575 Å, α = 90.00°, β = 90.00° and γ = 120.00°. The inequivalent atoms are Pa at (0.3333, 0.6667, 0.2500), Mn at (0.0000, 0.0000, 0.0000), Os at (0.3333, 0.6667, 0.7500) and O at (0.0278, 0.3585, 0.6315).

E_tot for every record listed, in sequence, given in eV/atom: -3.85 -8.51.